This record from OQMD describes TbYIn4Cu2 after structural relaxation. The functional is PBE-GGA.

POSCAR file:
```
TbYIn4Cu2
1.0
7.356 0.000 0.000
0.000 4.401 0.000
0.000 0.000 10.774
Tb Y In Cu
2 2 8 4
direct
0.000 0.000 0.000
0.000 0.500 0.500
0.500 0.000 0.859
0.500 0.500 0.359
0.202 0.000 0.292
0.202 0.500 0.792
0.298 0.000 0.567
0.298 0.500 0.067
0.702 0.000 0.567
0.702 0.500 0.067
0.798 0.000 0.292
0.798 0.500 0.792
0.000 0.000 0.717
0.000 0.500 0.217
0.500 0.000 0.142
0.500 0.500 0.642
```

Properties
Space-group type: Amm2, No. 38
Final energy, eV/atom: -4.024
Size of the total moment, μB/f.u.: 0.01